Record 1
The following is a PBE-GGA calculation of an optimized crystal structure of Li3Sm2Cu12Pd, from Alexandria via LeMat-Bulk.

POSCAR file:
```
Li3Sm2Cu12Pd
1.0
-2.5276 0.2100 -6.0214
5.6942 1.0481 -3.0277
1.1402 -6.2855 -1.3719
Cu Sm Li Pd
12 2 3 1
Cartesian
0.4623 -4.5528 -6.7251
3.5372 -2.9702 -3.4266
1.4695 -4.2994 -2.8323
3.8446 -0.4746 -3.6959
1.9863 -0.2236 -5.3926
-0.4433 -0.9117 -5.2572
2.8374 -0.7281 -7.5887
0.0607 -3.3246 -4.6924
2.3206 -4.8038 -5.0284
4.2462 -1.7029 -5.7286
0.7697 -2.0572 -6.9944
4.7502 -4.1157 -5.1638
3.1086 -3.6288 -7.5217
1.1982 -1.3987 -2.8993
-1.2638 0.1050 -3.0107
0.5701 -3.1428 -0.6859
2.8471 0.5240 -1.5139
0.0000 0.0000 0.0000
```

Output
DOS at the Fermi energy in states/eV/f.u.: 5.38
Calculated density in Mg/m³: 7.2
Magnetization in Bohr magnetons per cell: 0.000
E_tot in eV/cell: -69.0
Formation energy from the elements in kJ/mol of formula units: 50

Record 2
The following is a PBE-GGA calculation of an optimized crystal structure of Na2UTiTe4, from Alexandria via LeMat-Bulk.

POSCAR file:
```
Na2UTiTe4
1.0
4.2428 0.0000 0.0000
0.0000 7.2666 0.1205
0.0000 -2.5660 7.6628
Te Na U Ti
4 2 1 1
Cartesian
2.1214 1.3007 1.8055
0.0000 0.0045 6.0206
0.0000 4.6962 1.7628
2.1214 3.3999 5.9778
2.1214 -1.2830 3.8314
0.0000 2.3503 3.8917
0.0000 0.0000 0.0000
2.1214 3.6333 0.0602
```

Output
DOS at the Fermi energy in states/eV/f.u.: 8.16
Calculated density in Mg/m³: 5.9
Magnetization in Bohr magnetons per cell: 4.003
E_tot in eV/cell: -40.6
E_form (uncorrected) in eV/f.u.: -6.2